(1)
The following is a DFT calculation (PBE) of a geometry-optimized CeDyCuGe structure.

Geometry as POSCAR:
```
CeDyCuGe
1.0
0.000 3.558 3.558
3.558 0.000 3.558
3.558 3.558 0.000
Ce Dy Cu Ge
1 1 1 1
Cartesian
0.000 0.000 0.000
3.558 3.558 3.558
1.779 1.779 1.779
5.337 5.337 5.337
```

Calculated values
Energy of formation from the pure elements = -0.41 eV/atom
Crystal system = cubic
Final energy = -20.89 eV per cell

=====

(2)
The following is a DFT calculation (PBE) of a geometry-optimized Ac3Pr2Tl4 structure.

Geometry as POSCAR:
```
Ac3Pr2Tl4
1.0
3.698 -10.349 0.000
3.698 10.349 0.000
0.000 0.000 8.638
Ac Pr Tl
6 4 8
Cartesian
0.000 0.000 0.000
1.849 4.836 2.159
1.849 -4.836 6.478
3.698 0.000 4.319
5.547 4.836 2.159
5.547 -4.836 6.478
3.698 8.509 3.610
3.698 1.839 7.929
3.698 -1.839 0.708
3.698 -8.509 5.027
3.698 7.080 0.500
1.849 1.490 2.159
1.849 -1.490 6.478
3.698 3.269 4.819
3.698 -3.269 3.819
5.547 1.490 2.159
5.547 -1.490 6.478
3.698 -7.080 8.137
```

Calculated values
Energy of formation from the pure elements = -0.16 eV/atom
Crystal system = orthorhombic
Final energy = -65.64 eV per cell
Energy relative to the lowest polymorph listed for this composition = 116 meV/atom

=====

(3)
The following is a DFT calculation (PBE) of a geometry-optimized MgInPb2 structure.

Geometry as POSCAR:
```
MgInPb2
1.0
5.783 -1.730 0.000
5.783 1.730 0.000
-1.562 0.000 5.572
Mg In Pb
1 1 2
Cartesian
0.000 0.000 0.000
8.033 0.000 1.496
1.699 0.000 4.396
4.846 0.000 2.731
```

Calculated values
Energy of formation from the pure elements = -0.02 eV/atom
Crystal system = monoclinic
Final energy = -11.84 eV per cell

=====

(4)
The following is a DFT calculation (PBE) of a geometry-optimized Eu2HgPd structure.

Geometry as POSCAR:
```
Eu2HgPd
1.0
0.000 3.763 3.763
3.763 0.000 3.763
3.763 3.763 0.000
Eu Hg Pd
2 1 1
Cartesian
1.882 1.882 1.882
5.645 5.645 5.645
0.000 0.000 0.000
3.763 3.763 3.763
```

Calculated values
Energy of formation from the pure elements = -0.56 eV/atom
Crystal system = cubic
Final energy = -28.27 eV per cell
Energy relative to the lowest polymorph listed for this composition = 41 meV/atom

=====

(5)
The following is a DFT calculation (PBE) of a geometry-optimized Te4AsBr structure.

Geometry as POSCAR:
```
Te4AsBr
1.0
0.000 4.440 4.440
4.440 0.000 4.440
4.440 4.440 0.000
Te As Br
4 1 1
Cartesian
1.100 1.100 1.100
3.339 3.339 1.100
3.339 1.100 3.339
1.100 3.339 3.339
6.659 6.659 6.659
4.440 4.440 4.440
```

Calculated values
Crystal system = cubic
E_form (uncorrected) = 0.53 eV per atom
Final energy = -15.70 eV per cell
Energy relative to the lowest polymorph listed for this composition = 577 meV/atom

=====

(6)
The following is a DFT calculation (PBE) of a geometry-optimized Pt2Pb structure.

Geometry as POSCAR:
```
Pt2Pb
1.0
3.870 0.000 0.000
0.000 3.870 0.000
0.000 0.000 4.326
Pt Pb
2 1
Cartesian
0.000 1.935 0.000
1.935 0.000 0.000
0.000 0.000 2.163
```

Calculated values
Energy of formation from the pure elements = -0.02 eV/atom
Crystal system = tetragonal
Final energy = -15.86 eV per cell

=====

(7)
The following is a DFT calculation (PBE) of a geometry-optimized Be3Os structure.

Geometry as POSCAR:
```
Be3Os
1.0
2.628 0.000 0.000
-1.314 2.276 0.000
0.000 0.000 7.191
Be Os
3 1
Cartesian
0.000 0.000 0.000
0.000 1.517 1.721
0.000 1.517 5.469
0.000 0.000 3.595
```

Calculated values
Energy of formation from the pure elements = 0.14 eV/atom
Crystal system = hexagonal
Final energy = -21.86 eV per cell

=====

(8)
The following is a DFT calculation (PBE) of a geometry-optimized SrCaGaSi structure.

Geometry as POSCAR:
```
SrCaGaSi
1.0
4.176 0.000 0.000
0.000 2.289 5.762
0.000 -2.289 5.762
Sr Ca Ga Si
1 1 1 1
Cartesian
0.000 0.000 0.000
2.088 0.000 3.219
0.000 0.000 8.194
2.088 0.000 6.691
```

Calculated values
Crystal system = orthorhombic
E_form (uncorrected) = -0.48 eV per atom
Final energy = -14.05 eV per cell

=====

Question: Which formula does entry 1 have?
Answer: CeDyCuGe